Record 1
DFT (PBEsol) results for NaB3O5 after structural relaxation.

Output
uncorrected energy = -7.82 eV/atom
M_tot = 0.0 μB/f.u.
space group = P2_1/c (14)

Cell lengths 8.978, 11.101, 12.137 Å; angles 90.00, 90.44, 90.00 degrees
Sites, in units of the cell vectors:
Na: 0.061 0.164 0.214
Na: 0.061 0.336 0.714
Na: 0.389 0.091 0.077
Na: 0.389 0.409 0.577
Na: 0.403 0.631 0.063
Na: 0.403 0.869 0.563
Na: 0.597 0.131 0.437
Na: 0.597 0.369 0.937
Na: 0.611 0.591 0.423
Na: 0.611 0.909 0.923
Na: 0.939 0.664 0.286
Na: 0.939 0.836 0.786
B: 0.014 0.221 0.918
B: 0.014 0.279 0.418
B: 0.145 0.603 0.464
B: 0.145 0.897 0.964
B: 0.206 0.620 0.664
B: 0.206 0.880 0.164
B: 0.250 0.158 0.462
B: 0.250 0.342 0.962
B: 0.277 0.117 0.674
B: 0.277 0.383 0.174
B: 0.290 0.540 0.845
B: 0.290 0.960 0.345
B: 0.323 0.543 0.311
B: 0.323 0.957 0.811
B: 0.359 0.169 0.858
B: 0.359 0.331 0.358
B: 0.363 0.741 0.787
B: 0.363 0.759 0.287
B: 0.637 0.241 0.713
B: 0.637 0.259 0.213
B: 0.641 0.669 0.642
B: 0.641 0.831 0.142
B: 0.677 0.043 0.189
B: 0.677 0.457 0.689
B: 0.710 0.040 0.655
B: 0.710 0.460 0.155
B: 0.723 0.617 0.826
B: 0.723 0.883 0.326
B: 0.750 0.658 0.038
B: 0.750 0.842 0.538
B: 0.794 0.120 0.836
B: 0.794 0.380 0.336
B: 0.855 0.103 0.036
B: 0.855 0.397 0.536
B: 0.986 0.721 0.582
B: 0.986 0.779 0.082
O: 0.017 0.674 0.478
O: 0.017 0.826 0.978
O: 0.061 0.679 0.673
O: 0.061 0.821 0.173
O: 0.116 0.190 0.402
O: 0.116 0.310 0.902
O: 0.175 0.575 0.357
O: 0.175 0.925 0.857
O: 0.222 0.520 0.745
O: 0.222 0.980 0.245
O: 0.224 0.163 0.579
O: 0.224 0.337 0.079
O: 0.228 0.569 0.553
O: 0.228 0.931 0.053
O: 0.300 0.503 0.196
O: 0.300 0.997 0.696
O: 0.304 0.203 0.756
O: 0.304 0.297 0.256
O: 0.308 0.039 0.430
O: 0.308 0.461 0.930
O: 0.320 0.714 0.682
O: 0.320 0.786 0.182
O: 0.353 0.653 0.869
O: 0.353 0.847 0.369
O: 0.372 0.249 0.442
O: 0.372 0.251 0.942
O: 0.396 0.051 0.878
O: 0.396 0.449 0.378
O: 0.420 0.649 0.315
O: 0.420 0.851 0.815
O: 0.580 0.149 0.185
O: 0.580 0.351 0.685
O: 0.604 0.551 0.622
O: 0.604 0.949 0.122
O: 0.628 0.749 0.058
O: 0.628 0.751 0.558
O: 0.647 0.153 0.631
O: 0.647 0.347 0.131
O: 0.680 0.214 0.818
O: 0.680 0.286 0.318
O: 0.692 0.539 0.070
O: 0.692 0.961 0.570
O: 0.696 0.703 0.744
O: 0.696 0.797 0.244
O: 0.700 0.003 0.304
O: 0.700 0.497 0.804
O: 0.772 0.069 0.947
O: 0.772 0.431 0.447
O: 0.776 0.663 0.921
O: 0.776 0.837 0.421
O: 0.778 0.020 0.755
O: 0.778 0.480 0.255
O: 0.825 0.075 0.143
O: 0.825 0.425 0.643
O: 0.884 0.690 0.098
O: 0.884 0.810 0.598
O: 0.939 0.179 0.827
O: 0.939 0.321 0.327
O: 0.983 0.174 0.022
O: 0.983 0.326 0.522

Record 2
DFT (PBEsol) results for LuNbO4 after structural relaxation.

Output
uncorrected energy = -9.20 eV/atom
M_tot = 0.0 μB/f.u.
space group = C2/m (12)

Cell lengths 6.905, 6.905, 7.018 Å; angles 106.01, 106.01, 33.36 degrees
Sites, in units of the cell vectors:
Lu: 0.197 0.197 0.296
Lu: 0.803 0.803 0.704
Nb: 0.100 0.100 0.711
Nb: 0.900 0.900 0.289
O: 0.051 0.051 0.367
O: 0.134 0.134 0.983
O: 0.245 0.245 0.640
O: 0.372 0.372 0.306
O: 0.628 0.628 0.694
O: 0.755 0.755 0.360
O: 0.866 0.866 0.017
O: 0.949 0.949 0.633

Record 3
DFT (PBEsol) results for Re2HgSe after structural relaxation.

Output
uncorrected energy = -6.78 eV/atom
M_tot = 0.0 μB/f.u.
space group = P2/m (10)

Cell lengths 2.723, 4.351, 5.629 Å; angles 90.00, 91.33, 90.00 degrees
Sites, in units of the cell vectors:
Re: 0.077 0.000 0.239
Re: 0.923 0.000 0.761
Hg: 0.500 0.500 0.000
Se: 0.000 0.500 0.500

Record 4
DFT (PBEsol) results for CaCuMo2 after structural relaxation.

Output
M_tot = 0.0 μB/f.u.
DFT formation energy = 667 meV per atom
space group = Imm2 (44)

Cell lengths 3.262, 4.929, 8.751 Å; angles 90.00, 90.00, 90.00 degrees
Sites, in units of the cell vectors:
Ca: 0.000 0.000 0.000
Ca: 0.500 0.500 0.500
Cu: 0.000 0.500 0.770
Cu: 0.500 0.000 0.270
Mo: 0.000 0.000 0.516
Mo: 0.000 0.500 0.217
Mo: 0.500 0.000 0.717
Mo: 0.500 0.500 0.016

Record 5
DFT (PBEsol) results for KAs4ClO6 after structural relaxation.

Output
uncorrected energy = -5.91 eV/atom
M_tot = 0.0 μB/f.u.
space group = P6/mmm (191)

Cell lengths 5.263, 5.263, 8.895 Å; angles 90.00, 90.00, 120.00 degrees
Sites, in units of the cell vectors:
K: 0.000 0.000 0.000
As: 0.333 0.667 0.300
As: 0.333 0.667 0.700
As: 0.667 0.333 0.300
As: 0.667 0.333 0.700
Cl: 0.000 0.000 0.500
O: 0.000 0.500 0.188
O: 0.000 0.500 0.812
O: 0.500 0.000 0.188
O: 0.500 0.000 0.812
O: 0.500 0.500 0.188
O: 0.500 0.500 0.812

Record 6
DFT (PBEsol) results for SiSb2Ru after structural relaxation.

Output
uncorrected energy = -6.26 eV/atom
M_tot = 0.0 μB/f.u.
space group = Amm2 (38)

Cell lengths 4.360, 4.835, 7.885 Å; angles 90.00, 90.00, 90.00 degrees
Sites, in units of the cell vectors:
Si: 0.000 0.000 0.000
Si: 0.000 0.500 0.500
Sb: 0.000 0.000 0.659
Sb: 0.000 0.500 0.159
Sb: 0.500 0.000 0.233
Sb: 0.500 0.500 0.733
Ru: 0.500 0.000 0.872
Ru: 0.500 0.500 0.372

Record 7
DFT (PBEsol) results for CrHgRu2 after structural relaxation.

Output
M_tot = 0.5 μB/f.u.
DFT formation energy = 460 meV per atom
space group = Immm (71)

Cell lengths 2.797, 4.579, 9.057 Å; angles 90.00, 90.00, 90.00 degrees
Sites, in units of the cell vectors:
Cr: 0.000 0.000 0.000
Cr: 0.500 0.500 0.500
Hg: 0.000 0.000 0.500
Hg: 0.500 0.500 0.000
Ru: 0.000 0.500 0.283
Ru: 0.000 0.500 0.717
Ru: 0.500 0.000 0.217
Ru: 0.500 0.000 0.783

Record 8
DFT (PBEsol) results for Nd2InGe2 after structural relaxation.

Output
M_tot = 0.0 μB/f.u.
DFT formation energy = -794 meV per atom
space group = P4/mbm (127)

Cell lengths 7.423, 7.423, 4.315 Å; angles 90.00, 90.00, 90.00 degrees
Sites, in units of the cell vectors:
Nd: 0.179 0.321 0.000
Nd: 0.321 0.821 0.000
Nd: 0.679 0.179 0.000
Nd: 0.821 0.679 0.000
In: 0.000 0.000 0.500
In: 0.500 0.500 0.500
Ge: 0.120 0.620 0.500
Ge: 0.380 0.120 0.500
Ge: 0.620 0.880 0.500
Ge: 0.880 0.380 0.500

Record 9
DFT (PBEsol) results for Y2GeP after structural relaxation.

Output
M_tot = 0.0 μB/f.u.
DFT formation energy = -814 meV per atom
space group = Fm-3m (225)

Cell lengths 6.972, 6.972, 6.972 Å; angles 90.00, 90.00, 90.00 degrees
Sites, in units of the cell vectors:
Y: 0.250 0.250 0.250
Y: 0.250 0.250 0.750
Y: 0.250 0.750 0.250
Y: 0.250 0.750 0.750
Y: 0.750 0.250 0.250
Y: 0.750 0.250 0.750
Y: 0.750 0.750 0.250
Y: 0.750 0.750 0.750
Ge: 0.000 0.000 0.000
Ge: 0.000 0.500 0.500
Ge: 0.500 0.000 0.500
Ge: 0.500 0.500 0.000
P: 0.000 0.000 0.500
P: 0.000 0.500 0.000
P: 0.500 0.000 0.000
P: 0.500 0.500 0.500

Record 10
DFT (PBEsol) results for InHg5 after structural relaxation.

Output
M_tot = 0.0 μB/f.u.
DFT formation energy = 72 meV per atom
space group = F-43m (216)

Cell lengths 5.963, 5.963, 5.963 Å; angles 60.00, 60.00, 60.00 degrees
Sites, in units of the cell vectors:
In: 0.000 0.000 0.000
Hg: 0.125 0.625 0.625
Hg: 0.250 0.250 0.250
Hg: 0.625 0.125 0.625
Hg: 0.625 0.625 0.125
Hg: 0.625 0.625 0.625

Record 11
DFT (PBEsol) results for Cs2TlFeF6 after structural relaxation.

Output
uncorrected energy = -4.80 eV/atom
M_tot = 1.0 μB/f.u.
space group = Fm-3m (225)

Cell lengths 6.347, 6.347, 6.347 Å; angles 60.00, 60.00, 60.00 degrees
Sites, in units of the cell vectors:
Cs: 0.250 0.250 0.250
Cs: 0.750 0.750 0.750
Tl: 0.000 0.000 0.000
Fe: 0.500 0.500 0.500
F: 0.292 0.292 0.708
F: 0.292 0.708 0.292
F: 0.292 0.708 0.708
F: 0.708 0.292 0.292
F: 0.708 0.292 0.708
F: 0.708 0.708 0.292

Record 12
DFT (PBEsol) results for CsCaI3 after structural relaxation.

Output
uncorrected energy = -3.25 eV/atom
M_tot = 0.0 μB/f.u.
space group = Pm-3m (221)

Cell lengths 6.080, 6.080, 6.080 Å; angles 90.00, 90.00, 90.00 degrees
Sites, in units of the cell vectors:
Cs: 0.000 0.000 0.000
Ca: 0.500 0.500 0.500
I: 0.000 0.500 0.500
I: 0.500 0.000 0.500
I: 0.500 0.500 0.000

Record 13
DFT (PBEsol) results for KCa2Al after structural relaxation.

Output
M_tot = 0.0 μB/f.u.
DFT formation energy = 120 meV per atom
space group = Pm (6)

Cell lengths 4.092, 4.082, 9.161 Å; angles 90.00, 90.07, 90.00 degrees
Sites, in units of the cell vectors:
K: 0.000 0.000 0.000
Ca: 0.498 0.500 0.355
Ca: 0.999 0.000 0.606
Al: 0.499 0.500 0.731

Record 14
DFT (PBEsol) results for BaCaTl2 after structural relaxation.

Output
M_tot = 0.0 μB/f.u.
DFT formation energy = -480 meV per atom
space group = P4/mmm (123)

Cell lengths 3.970, 3.970, 8.099 Å; angles 90.00, 90.00, 90.00 degrees
Sites, in units of the cell vectors:
Ba: 0.000 0.000 0.000
Ca: 0.000 0.000 0.500
Tl: 0.500 0.500 0.287
Tl: 0.500 0.500 0.713

Record 15
DFT (PBEsol) results for Hf3ZrH after structural relaxation.

Output
uncorrected energy = -8.86 eV/atom
M_tot = 0.0 μB/f.u.
space group = Pm-3m (221)

Cell lengths 4.445, 4.445, 4.445 Å; angles 90.00, 90.00, 90.00 degrees
Sites, in units of the cell vectors:
Hf: 0.000 0.000 0.500
Hf: 0.000 0.500 0.000
Hf: 0.500 0.000 0.000
Zr: 0.500 0.500 0.500
H: 0.000 0.000 0.000

Record 16
DFT (PBEsol) results for AlRe2Mo after structural relaxation.

Output
M_tot = 0.0 μB/f.u.
DFT formation energy = 22 meV per atom
space group = Cm (8)

Cell lengths 4.805, 2.775, 9.061 Å; angles 90.00, 100.25, 90.00 degrees
Sites, in units of the cell vectors:
Al: 0.000 0.000 0.000
Al: 0.500 0.500 0.000
Re: 0.249 0.500 0.249
Re: 0.496 0.000 0.488
Re: 0.749 0.000 0.249
Re: 0.996 0.500 0.488
Mo: 0.248 0.000 0.745
Mo: 0.748 0.500 0.745

Record 17
DFT (PBEsol) results for InNiRu3 after structural relaxation.

Output
M_tot = 4.6 μB/f.u.
DFT formation energy = 1319 meV per atom
space group = Pm-3m (221)

Cell lengths 4.406, 4.406, 4.406 Å; angles 90.00, 90.00, 90.00 degrees
Sites, in units of the cell vectors:
In: 0.000 0.000 0.000
Ni: 0.500 0.500 0.500
Ru: 0.000 0.500 0.500
Ru: 0.500 0.000 0.500
Ru: 0.500 0.500 0.000

Record 18
DFT (PBEsol) results for DyCoSi after structural relaxation.

Output
uncorrected energy = -6.95 eV/atom
M_tot = 0.0 μB/f.u.
space group = Pnma (62)

Cell lengths 6.894, 4.157, 6.626 Å; angles 90.00, 90.00, 90.00 degrees
Sites, in units of the cell vectors:
Dy: 0.022 0.250 0.181
Dy: 0.478 0.750 0.681
Dy: 0.522 0.250 0.319
Dy: 0.978 0.750 0.819
Co: 0.141 0.750 0.433
Co: 0.359 0.250 0.933
Co: 0.641 0.750 0.067
Co: 0.859 0.250 0.567
Si: 0.192 0.250 0.611
Si: 0.308 0.750 0.111
Si: 0.692 0.250 0.889
Si: 0.808 0.750 0.389

Record 19
DFT (PBEsol) results for Ir3Rh5 after structural relaxation.

Output
M_tot = 0.0 μB/f.u.
DFT formation energy = -17 meV per atom
space group = Cmmm (65)

Cell lengths 7.586, 7.595, 3.795 Å; angles 90.00, 90.00, 90.00 degrees
Sites, in units of the cell vectors:
Ir: 0.000 0.000 0.000
Ir: 0.250 0.000 0.500
Ir: 0.250 0.500 0.500
Ir: 0.500 0.500 0.000
Ir: 0.750 0.000 0.500
Ir: 0.750 0.500 0.500
Rh: 0.000 0.250 0.500
Rh: 0.000 0.500 0.000
Rh: 0.000 0.750 0.500
Rh: 0.250 0.250 0.000
Rh: 0.250 0.750 0.000
Rh: 0.500 0.000 0.000
Rh: 0.500 0.250 0.500
Rh: 0.500 0.750 0.500
Rh: 0.750 0.250 0.000
Rh: 0.750 0.750 0.000

Record 20
DFT (PBEsol) results for Sn3IrC after structural relaxation.

Output
M_tot = 1.1 μB/f.u.
DFT formation energy = 1372 meV per atom
space group = Pm-3m (221)

Cell lengths 5.026, 5.026, 5.026 Å; angles 90.00, 90.00, 90.00 degrees
Sites, in units of the cell vectors:
Sn: 0.000 0.000 0.500
Sn: 0.000 0.500 0.000
Sn: 0.500 0.000 0.000
Ir: 0.000 0.000 0.000
C: 0.500 0.500 0.500

no.,DOS(E_F) (states/eV per cell)
1,0.00
2,0.00
3,3.82
4,6.39
5,0.00
6,3.26
7,7.56
8,4.57
9,14.60
10,2.41
11,11.12
12,0.00
13,3.22
14,2.21
15,6.78
16,5.96
17,6.71
18,5.44
19,16.50
20,2.57